No. 1
Below is a relaxed TbSi3Ir crystal, with properties calculated at the GGA-PBE level.

Unit cell a=5.633 b=5.612 c=5.824 alpha=90.00 beta=103.58 gamma=90.00
Fractional coordinates of all 10 atoms:
Tb  0.097  0.250  0.314
Tb  0.903  0.750  0.686
Si  0.032  0.250  0.811
Si  0.404  0.025  0.794
Si  0.404  0.475  0.794
Si  0.596  0.525  0.206
Si  0.596  0.975  0.206
Si  0.968  0.750  0.189
Ir  0.367  0.750  0.466
Ir  0.633  0.250  0.534

Computed properties:
Uncorrected formation energy: -0.613 eV per atom
Size of the total moment: 0.00 μB/cell
Density of states at the Fermi level: 3.6 states/eV/cell



No. 2
Below is a relaxed InIrAu2 crystal, with properties calculated at the GGA-PBE level.

Unit cell a=2.877 b=5.138 c=9.932 alpha=90.00 beta=90.00 gamma=90.00
Fractional coordinates of all 8 atoms:
In  0.000  0.000  0.000
In  0.500  0.500  0.000
Ir  0.000  0.000  0.500
Ir  0.500  0.500  0.500
Au  0.000  0.500  0.261
Au  0.000  0.500  0.739
Au  0.500  0.000  0.261
Au  0.500  0.000  0.739

Computed properties:
Size of the total moment: 0.01 μB/cell
Density of states at the Fermi level: 7.6 states/eV/cell
Energy of formation from the pure elements: 335 meV/atom



No. 3
Below is a relaxed Pm3Ag2Pb4 crystal, with properties calculated at the GGA-PBE level.

Unit cell a=6.430 b=6.430 c=9.246 alpha=107.59 beta=107.59 gamma=43.84
Fractional coordinates of all 9 atoms:
Pm  0.000  0.000  0.000
Pm  0.362  0.362  0.307
Pm  0.638  0.638  0.693
Ag  0.301  0.301  0.613
Ag  0.699  0.699  0.387
Pb  0.062  0.062  0.373
Pb  0.304  0.304  0.928
Pb  0.696  0.696  0.072
Pb  0.938  0.938  0.627

Computed properties:
Size of the total moment: 0.00 μB/cell
Density of states at the Fermi level: 2.9 states/eV/cell
Energy of formation from the pure elements: -384 meV/atom



No. 4
Below is a relaxed YZrTc2 crystal, with properties calculated at the GGA-PBE level.

Unit cell a=6.671 b=6.671 c=6.671 alpha=90.00 beta=90.00 gamma=90.00
Fractional coordinates of all 16 atoms:
Y  0.000  0.000  0.000
Y  0.000  0.500  0.500
Y  0.500  0.000  0.500
Y  0.500  0.500  0.000
Zr  0.250  0.250  0.250
Zr  0.250  0.750  0.750
Zr  0.750  0.250  0.750
Zr  0.750  0.750  0.250
Tc  0.000  0.000  0.500
Tc  0.000  0.500  0.000
Tc  0.250  0.250  0.750
Tc  0.250  0.750  0.250
Tc  0.500  0.000  0.000
Tc  0.500  0.500  0.500
Tc  0.750  0.250  0.250
Tc  0.750  0.750  0.750

Computed properties:
Size of the total moment: 0.00 μB/cell
Density of states at the Fermi level: 15.2 states/eV/cell
Energy of formation from the pure elements: 157 meV/atom



No. 5
Below is a relaxed Cs4Tb3CeS8 crystal, with properties calculated at the GGA-PBE level.

Unit cell a=9.389 b=9.389 c=9.389 alpha=52.64 beta=52.64 gamma=52.64
Fractional coordinates of all 16 atoms:
Cs  0.000  0.000  0.000
Cs  0.000  0.500  0.500
Cs  0.500  0.000  0.500
Cs  0.500  0.500  0.000
Tb  0.000  0.000  0.500
Tb  0.000  0.500  0.000
Tb  0.500  0.000  0.000
Ce  0.500  0.500  0.500
S  0.221  0.731  0.731
S  0.227  0.227  0.227
S  0.269  0.269  0.779
S  0.269  0.779  0.269
S  0.731  0.221  0.731
S  0.731  0.731  0.221
S  0.773  0.773  0.773
S  0.779  0.269  0.269

Computed properties:
Uncorrected formation energy: -1.810 eV per atom
Size of the total moment: 0.96 μB/cell
Density of states at the Fermi level: 4.1 states/eV/cell



No. 6
Below is a relaxed K3Nd2ZrO6 crystal, with properties calculated at the GGA-PBE level.

Unit cell a=6.110 b=6.110 c=6.611 alpha=98.86 beta=98.86 gamma=120.02
Fractional coordinates of all 12 atoms:
K  0.000  0.000  0.000
K  0.336  0.664  0.000
K  0.664  0.336  0.000
Nd  0.167  0.833  0.500
Nd  0.833  0.167  0.500
Zr  0.500  0.500  0.500
O  0.132  0.437  0.311
O  0.258  0.258  0.688
O  0.437  0.132  0.311
O  0.563  0.868  0.689
O  0.742  0.742  0.312
O  0.868  0.563  0.689

Computed properties:
Uncorrected formation energy: -2.509 eV per atom
Size of the total moment: 0.00 μB/cell
Density of states at the Fermi level: 3.8 states/eV/cell